Here is a geometry-optimized Ho8Er2Mg structure from the Alexandria database. Energies are from GGA-PBE.

Cell and atoms, written as extended XYZ:
```
11
Lattice="-6.149 -0.484 2.364 -1.789 1.390 9.652 -3.481 6.768 6.353" Properties=species:S:1:pos:R:3 pbc="T T T"
Ho -4.033 3.346 10.635
Ho -5.043 6.067 12.478
Ho -6.571 1.742 9.321
Ho -7.385 4.329 7.734
Ho -7.587 4.501 11.230
Ho -6.375 1.607 5.890
Ho -3.831 3.173 7.139
Ho -4.847 5.933 9.048
Er -7.838 6.344 14.364
Er -3.579 1.330 4.005
Mg 0.000 0.000 0.000
```

## Properties
- space group = No. 12
- Fermi-level density of states (states/eV/atom) = 1.578
- energy (Ry/atom) = -0.3041
- energy relative to the elements (eV per atom) = 0.166
- size of the total moment (μB per cell) = 0.0